Entry 1:
This record from Alexandria via LeMat-Bulk describes an optimized crystal structure of Mg2Ta2CuO8. The functional is GGA-PBEsol.

Properties
Electronic total energy   -8.19 eV per atom
Formation energy from raw total energies   -2.44 eV per atom
Calculated volume   286.9 Å³/cell

Unit cell a=9.8569 b=9.8569 c=5.1127 alpha=91.48 beta=91.48 gamma=35.30
Closest atoms and distances in Å follow each position.
Sites, in units of the cell vectors:
Mg 0.0847 0.3702 0.2452  4 O 1.98-2.10
Mg 0.3702 0.0847 0.7452  4 O 1.98-2.10
Mg 0.6298 0.9153 0.2548  4 O 1.98-2.10
Mg 0.9153 0.6298 0.7548  4 O 1.98-2.10
Ta 0.2234 0.5469 0.2638  5 O 1.85-2.05
Ta 0.4531 0.7766 0.2362  5 O 1.85-2.05
Ta 0.5469 0.2234 0.7638  5 O 1.85-2.05
Ta 0.7766 0.4531 0.7362  5 O 1.85-2.05
Cu 0.1460 0.8540 0.7500  2 O 1.90
Cu 0.8540 0.1460 0.2500  2 O 1.90
O 0.0452 0.3357 0.8751  1 Ta 1.95, 3 Mg 1.98-2.10
O 0.0748 0.8113 0.4367  1 Ta 1.85, 1 Cu 1.90
O 0.1887 0.9252 0.0633  1 Ta 1.85, 1 Cu 1.90
O 0.2142 0.4132 0.5506  2 Mg 2.03-2.23, 1 Ta 2.05
O 0.3161 0.5427 0.9291  2 Ta 1.94-2.02, 1 Cu 2.18
O 0.3357 0.0452 0.3751  1 Ta 1.95, 3 Mg 1.98-2.10
O 0.4132 0.2142 0.0506  2 Mg 2.03-2.23, 1 Ta 2.05
O 0.4573 0.6839 0.5709  2 Ta 1.94-2.02, 1 Cu 2.18
O 0.5427 0.3161 0.4291  2 Ta 1.94-2.02, 1 Cu 2.18
O 0.5868 0.7858 0.9494  2 Mg 2.03-2.23, 1 Ta 2.05
O 0.6643 0.9548 0.6249  1 Ta 1.95, 3 Mg 1.98-2.10
O 0.6839 0.4573 0.0709  2 Ta 1.94-2.02, 1 Cu 2.18
O 0.7858 0.5868 0.4494  2 Mg 2.03-2.23, 1 Ta 2.05
O 0.8113 0.0748 0.9367  1 Ta 1.85, 1 Cu 1.90
O 0.9252 0.1887 0.5633  1 Ta 1.85, 1 Cu 1.90
O 0.9548 0.6643 0.1249  1 Ta 1.95, 3 Mg 1.98-2.10

=====

Entry 2:
This record from Alexandria via LeMat-Bulk describes an optimized crystal structure of FeSb2Os. The functional is GGA-PBEsol.

Properties
Electronic total energy   -7.14 eV per atom
E above lowest polymorph   10 meV per atom
Formation energy from raw total energies   0.44 eV per atom
Calculated volume   65.5 Å³/cell

Unit cell a=3.1834 b=3.1834 c=6.4587 alpha=90.00 beta=90.00 gamma=90.00
Closest atoms and distances in Å follow each position.
Sites, in units of the cell vectors:
Fe 0.0000 0.0000 0.0000  8 Sb 2.73
Sb 0.5000 0.5000 0.2390  4 Fe 2.73, 4 Os 2.81
Sb 0.5000 0.5000 0.7610  4 Fe 2.73, 4 Os 2.81
Os 0.0000 0.0000 0.5000  8 Sb 2.81

=====

Entry 3:
This record from Alexandria via LeMat-Bulk describes an optimized crystal structure of RbLi3Bi. The functional is GGA-PBEsol.

Properties
Formation enthalpy at 0 K   -0.25 eV per atom
Electronic total energy   -2.50 eV per atom
Calculated volume   163.2 Å³/cell

Unit cell a=5.4643 b=5.4643 c=5.4643 alpha=90.00 beta=90.00 gamma=90.00
Closest atoms and distances in Å follow each position.
Sites, in units of the cell vectors:
Rb 0.0000 0.0000 0.0000  12 Li 3.86
Li 0.0000 0.5000 0.5000  2 Bi 2.73
Li 0.5000 0.0000 0.5000  2 Bi 2.73
Li 0.5000 0.5000 0.0000  2 Bi 2.73
Bi 0.5000 0.5000 0.5000  6 Li 2.73

=====

Entry 4:
This record from Alexandria via LeMat-Bulk describes an optimized crystal structure of HfTiFe2H. The functional is GGA-PBEsol.

Properties
Electronic total energy   -7.63 eV per atom
Calculated volume   63.2 Å³/cell

Unit cell a=4.4162 b=4.4162 c=3.2389 alpha=90.00 beta=90.00 gamma=90.00
Closest atoms and distances in Å follow each position.
Sites, in units of the cell vectors:
Hf 0.0000 0.0000 0.0000  8 Fe 2.74
Ti 0.5000 0.5000 0.5000  2 H 1.62
Fe 0.0000 0.5000 0.5000  2 Ti 2.21
Fe 0.5000 0.0000 0.5000  2 Ti 2.21
H 0.5000 0.5000 0.0000  2 Ti 1.62

=====

Entry 5:
This record from Alexandria via LeMat-Bulk describes an optimized crystal structure of CdSi3Br. The functional is GGA-PBEsol.

Properties
Electronic total energy   -2.86 eV per atom
E above lowest polymorph   0 meV per atom
Formation energy from raw total energies   1.20 eV per atom
Calculated volume   127.7 Å³/cell

Unit cell a=5.0356 b=5.0356 c=5.0356 alpha=90.00 beta=90.00 gamma=90.00
Closest atoms and distances in Å follow each position.
Sites, in units of the cell vectors:
Cd 0.0000 0.0000 0.0000  6 Si 2.52
Si 0.0000 0.0000 0.5000  2 Cd 2.52
Si 0.0000 0.5000 0.0000  2 Cd 2.52
Si 0.5000 0.0000 0.0000  2 Cd 2.52
Br 0.5000 0.5000 0.5000  12 Si 3.56

=====

Entry 6:
This record from Alexandria via LeMat-Bulk describes an optimized crystal structure of MgTaP2Ir. The functional is GGA-PBEsol.

Properties
Formation enthalpy at 0 K   1.40 eV per atom
Electronic total energy   -5.73 eV per atom
Calculated volume   88.4 Å³/cell

Unit cell a=4.4870 b=4.4870 c=4.3916 alpha=90.00 beta=90.00 gamma=90.00
Closest atoms and distances in Å follow each position.
Sites, in units of the cell vectors:
Mg 0.0000 0.0000 0.0000  2 Ir 2.20, 4 P 2.24
Ta 0.5000 0.5000 0.5000  8 P 3.14, 4 Ir 3.17
P 0.0000 0.5000 0.0000  2 Mg 2.24
P 0.5000 0.0000 0.0000  2 Mg 2.24
Ir 0.0000 0.0000 0.5000  2 Mg 2.20

=====

Entry 7:
This record from Alexandria via LeMat-Bulk describes an optimized crystal structure of NaLaTc2. The functional is GGA-PBEsol.

Properties
Formation enthalpy at 0 K   1.12 eV per atom
Electronic total energy   -6.20 eV per atom
Calculated volume   287.5 Å³/cell

Unit cell a=6.6004 b=6.6004 c=6.6004 alpha=90.00 beta=90.00 gamma=90.00
Closest atoms and distances in Å follow each position.
Sites, in units of the cell vectors:
Na 0.0000 0.0000 0.0000  8 Tc 2.86
Na 0.0000 0.5000 0.5000  8 Tc 2.86
Na 0.5000 0.0000 0.5000  8 Tc 2.86
Na 0.5000 0.5000 0.0000  8 Tc 2.86
La 0.0000 0.0000 0.5000  8 Tc 2.86
La 0.0000 0.5000 0.0000  8 Tc 2.86
La 0.5000 0.0000 0.0000  8 Tc 2.86
La 0.5000 0.5000 0.5000  8 Tc 2.86
Tc 0.2500 0.2500 0.2500  4 La 2.86, 4 Na 2.86
Tc 0.2500 0.2500 0.7500  4 La 2.86, 4 Na 2.86
Tc 0.2500 0.7500 0.2500  4 La 2.86, 4 Na 2.86
Tc 0.2500 0.7500 0.7500  4 La 2.86, 4 Na 2.86
Tc 0.7500 0.2500 0.2500  4 La 2.86, 4 Na 2.86
Tc 0.7500 0.2500 0.7500  4 La 2.86, 4 Na 2.86
Tc 0.7500 0.7500 0.2500  4 La 2.86, 4 Na 2.86
Tc 0.7500 0.7500 0.7500  4 Na 2.86, 4 La 2.86

=====

Entry 8:
This record from Alexandria via LeMat-Bulk describes an optimized crystal structure of LiLaAgOs2. The functional is GGA-PBEsol.

Properties
Formation enthalpy at 0 K   1.18 eV per atom
Electronic total energy   -5.83 eV per atom
Calculated volume   103.2 Å³/cell

Unit cell a=4.9073 b=4.9073 c=4.2873 alpha=90.00 beta=90.00 gamma=90.00
Closest atoms and distances in Å follow each position.
Sites, in units of the cell vectors:
Li 0.0000 0.0000 0.0000  2 Ag 2.14
La 0.5000 0.5000 0.0000  8 Os 3.26, 4 Li 3.47
Ag 0.0000 0.0000 0.5000  2 Li 2.14
Os 0.0000 0.5000 0.5000  2 Ag 2.45
Os 0.5000 0.0000 0.5000  2 Ag 2.45

=====

Entry 9:
This record from Alexandria via LeMat-Bulk describes an optimized crystal structure of Y2InCu. The functional is GGA-PBEsol.

Properties
Formation enthalpy at 0 K   -0.29 eV per atom
Electronic total energy   -5.53 eV per atom
Calculated volume   183.2 Å³/cell

Unit cell a=3.4565 b=4.9374 c=10.7375 alpha=90.00 beta=90.00 gamma=90.00
Closest atoms and distances in Å follow each position.
Sites, in units of the cell vectors:
Y 0.0000 0.0000 0.0000  4 Cu 3.02, 2 In 3.32, 2 Y 3.37
Y 0.0000 0.5000 0.2140  2 Cu 2.99, 4 In 3.13
Y 0.5000 0.0000 0.7140  2 Cu 2.99, 4 In 3.13
Y 0.5000 0.5000 0.5000  4 Cu 3.02, 2 In 3.32, 2 Y 3.37
In 0.0000 0.5000 0.7933  2 Cu 2.70
In 0.5000 0.0000 0.2933  2 Cu 2.70
Cu 0.0000 0.0000 0.4870  2 In 2.70, 6 Y 2.99-3.02
Cu 0.5000 0.5000 0.9870  2 In 2.70, 6 Y 2.99-3.02

=====

Entry 10:
This record from Alexandria via LeMat-Bulk describes an optimized crystal structure of YCu. The functional is GGA-PBEsol.

Properties
Formation enthalpy at 0 K   -0.22 eV per atom
Electronic total energy   -5.80 eV per atom
Calculated volume   40.1 Å³/cell

Unit cell a=3.4227 b=3.4227 c=3.4227 alpha=90.00 beta=90.00 gamma=90.00
Closest atoms and distances in Å follow each position.
Sites, in units of the cell vectors:
Y 0.0000 0.0000 0.0000  8 Cu 2.96
Cu 0.5000 0.5000 0.5000  8 Y 2.96

=====

Entry 11:
This record from Alexandria via LeMat-Bulk describes an optimized crystal structure of KSrPd2Pb. The functional is GGA-PBEsol.

Properties
Formation enthalpy at 0 K   0.73 eV per atom
Electronic total energy   -3.05 eV per atom
Calculated volume   148.9 Å³/cell

Unit cell a=5.1221 b=5.1221 c=5.6762 alpha=90.00 beta=90.00 gamma=90.00
Closest atoms and distances in Å follow each position.
Sites, in units of the cell vectors:
K 0.0000 0.0000 0.0000  4 Pd 2.56, 2 Pb 2.84
Sr 0.5000 0.5000 0.5000  4 Pb 3.62, 8 Pd 3.82
Pd 0.0000 0.5000 0.0000  2 K 2.56
Pd 0.5000 0.0000 0.0000  2 K 2.56
Pb 0.0000 0.0000 0.5000  2 K 2.84

=====

Entry 12:
This record from Alexandria via LeMat-Bulk describes an optimized crystal structure of Co3BF. The functional is GGA-PBEsol.

Properties
Electronic total energy   -5.41 eV per atom
Formation energy from raw total energies   1.02 eV per atom
Calculated volume   54.1 Å³/cell

Unit cell a=3.7814 b=3.7814 c=3.7814 alpha=90.00 beta=90.00 gamma=90.00
Closest atoms and distances in Å follow each position.
Sites, in units of the cell vectors:
Co 0.0000 0.0000 0.5000  2 F 1.89
Co 0.0000 0.5000 0.0000  2 F 1.89
Co 0.5000 0.0000 0.0000  2 F 1.89
B 0.5000 0.5000 0.5000  12 Co 2.67
F 0.0000 0.0000 0.0000  6 Co 1.89

=====

Entry 13:
This record from Alexandria via LeMat-Bulk describes an optimized crystal structure of SiSI2. The functional is GGA-PBEsol.

Properties
Electronic total energy   -2.84 eV per atom
Formation energy from raw total energies   0.58 eV per atom
Calculated volume   438.0 Å³/cell

Unit cell a=7.6049 b=7.6049 c=7.5740 alpha=90.00 beta=90.00 gamma=90.00
Closest atoms and distances in Å follow each position.
Sites, in units of the cell vectors:
Si 0.0000 0.0000 0.0000  4 I 2.74
Si 0.0000 0.5000 0.2500  4 I 2.74
Si 0.5000 0.0000 0.7500  4 I 2.74
Si 0.5000 0.5000 0.5000  4 I 2.74
S 0.0000 0.0000 0.5000  4 I 2.96
S 0.0000 0.5000 0.7500  4 I 2.96
S 0.5000 0.0000 0.2500  4 I 2.96
S 0.5000 0.5000 0.0000  4 I 2.96
I 0.2281 0.7500 0.1250  2 Si 2.74, 2 S 2.96
I 0.2500 0.2281 0.8750  2 Si 2.74, 2 S 2.96
I 0.2500 0.2719 0.3750  2 Si 2.74, 2 S 2.96
I 0.2719 0.7500 0.6250  2 Si 2.74, 2 S 2.96
I 0.7281 0.2500 0.6250  2 Si 2.74, 2 S 2.96
I 0.7500 0.7281 0.3750  2 Si 2.74, 2 S 2.96
I 0.7500 0.7719 0.8750  2 Si 2.74, 2 S 2.96
I 0.7719 0.2500 0.1250  2 Si 2.74, 2 S 2.96